# 1
! LaSm4Lu | Alexandria | PBE | optimized geometry; values from VASP
&SYSTEM
  ibrav = 0, nat = 6, ntyp = 3
/
ATOMIC_SPECIES
La 138.91 La.upf
Sm 150.36 Sm.upf
Lu 174.97 Lu.upf
ATOMIC_POSITIONS crystal
La 0.000 0.000 0.000
Sm 0.376 0.376 0.376
Sm 0.376 0.376 0.872
Sm 0.376 0.872 0.376
Sm 0.872 0.376 0.376
Lu 0.750 0.750 0.750
CELL_PARAMETERS angstrom
0.000 4.717 4.717
4.717 0.000 4.717
4.717 4.717 0.000
! * formation energy from the elements: 0.253 eV/atom
! * DOS at the Fermi energy: 1.66 states/eV/atom
! * magnetic moment: 0.0 μB per formula unit

---

# 2
! OsIF2 | Alexandria | PBE | optimized geometry; values from VASP
&SYSTEM
  ibrav = 0, nat = 4, ntyp = 3
/
ATOMIC_SPECIES
Os 190.23 Os.upf
I 126.90 I.upf
F 19.00 F.upf
ATOMIC_POSITIONS crystal
Os 0.000 0.000 0.000
I 0.500 0.500 0.500
F 0.250 0.250 0.250
F 0.750 0.750 0.750
CELL_PARAMETERS angstrom
0.000 3.168 3.168
3.168 0.000 3.168
3.168 3.168 0.000
! * distance to the lowest polymorph of the same formula: 0.966 eV/atom
! * E_form (uncorrected): 0.495 eV per atom
! * DOS at the Fermi energy: 0.57 states/eV/atom
! * magnetic moment: 3.5 μB per formula unit

---

# 3
! Tl5Br | Alexandria | PBE | optimized geometry; values from VASP
&SYSTEM
  ibrav = 0, nat = 6, ntyp = 2
/
ATOMIC_SPECIES
Tl 204.38 Tl.upf
Br 79.90 Br.upf
ATOMIC_POSITIONS crystal
Tl 0.000 0.000 0.000
Tl 0.164 0.836 0.500
Tl 0.329 0.671 0.000
Tl 0.671 0.329 0.000
Tl 0.836 0.164 0.500
Br 0.500 0.500 0.500
CELL_PARAMETERS angstrom
1.883 -8.934 0.000
1.883 8.934 0.000
0.000 0.000 5.645
! * distance to the lowest polymorph of the same formula: 0.000 eV/atom
! * E_form (uncorrected): -0.178 eV per atom
! * DOS at the Fermi energy: 0.48 states/eV/atom
! * magnetic moment: 0.0 μB per formula unit

---

# 4
! MgZr2Zn | Alexandria | PBE | optimized geometry; values from VASP
&SYSTEM
  ibrav = 0, nat = 4, ntyp = 3
/
ATOMIC_SPECIES
Mg 24.30 Mg.upf
Zr 91.22 Zr.upf
Zn 65.41 Zn.upf
ATOMIC_POSITIONS crystal
Mg 0.000 0.000 0.000
Zr 0.000 0.500 0.500
Zr 0.500 0.000 0.500
Zn 0.500 0.500 0.000
CELL_PARAMETERS angstrom
3.013 -4.186 0.000
3.013 4.186 0.000
0.000 0.000 3.209
! * formation energy from the elements: -0.057 eV/atom
! * distance to the lowest polymorph of the same formula: 0.056 eV/atom
! * DOS at the Fermi energy: 0.98 states/eV/atom
! * magnetic moment: 0.0 μB per formula unit

---

# 5
! Al2ZnHg | Alexandria | PBE | optimized geometry; values from VASP
&SYSTEM
  ibrav = 0, nat = 4, ntyp = 3
/
ATOMIC_SPECIES
Al 26.98 Al.upf
Zn 65.41 Zn.upf
Hg 200.59 Hg.upf
ATOMIC_POSITIONS crystal
Al 0.000 0.000 0.000
Al 0.500 0.000 0.500
Zn 0.000 0.500 0.500
Hg 0.500 0.500 0.000
CELL_PARAMETERS angstrom
2.764 0.000 0.000
0.000 5.242 0.000
0.000 0.000 5.278
! * formation energy from the elements: 0.179 eV/atom
! * distance to the lowest polymorph of the same formula: 0.081 eV/atom
! * DOS at the Fermi energy: 0.35 states/eV/atom
! * magnetic moment: 0.0 μB per formula unit

---

# 6
! RbHgW3 | Alexandria | PBE | optimized geometry; values from VASP
&SYSTEM
  ibrav = 0, nat = 5, ntyp = 3
/
ATOMIC_SPECIES
Rb 85.47 Rb.upf
Hg 200.59 Hg.upf
W 183.84 W.upf
ATOMIC_POSITIONS crystal
Rb 0.000 0.000 0.000
Hg 0.500 0.500 0.500
W 0.000 0.000 0.500
W 0.000 0.500 0.000
W 0.500 0.000 0.000
CELL_PARAMETERS angstrom
4.745 0.000 0.000
0.000 4.745 0.000
0.000 0.000 4.745
! * formation energy from the elements: 3.874 eV/atom
! * distance to the lowest polymorph of the same formula: 0.629 eV/atom
! * DOS at the Fermi energy: 0.93 states/eV/atom
! * magnetic moment: 0.0 μB per formula unit

---

# 7
! Mg3TiMn | Alexandria | PBE | optimized geometry; values from VASP
&SYSTEM
  ibrav = 0, nat = 5, ntyp = 3
/
ATOMIC_SPECIES
Mg 24.30 Mg.upf
Ti 47.87 Ti.upf
Mn 54.94 Mn.upf
ATOMIC_POSITIONS crystal
Mg 0.000 0.000 0.500
Mg 0.000 0.500 0.000
Mg 0.500 0.000 0.000
Ti 0.500 0.500 0.500
Mn 0.000 0.000 0.000
CELL_PARAMETERS angstrom
4.748 0.000 0.000
0.000 4.748 0.000
0.000 0.000 4.748
! * formation energy from the elements: 1.024 eV/atom
! * distance to the lowest polymorph of the same formula: 0.000 eV/atom
! * DOS at the Fermi energy: 1.41 states/eV/atom
! * magnetic moment: 0.0 μB per formula unit

---

# 8
! Sm3HoEr8 | Alexandria | PBE | optimized geometry; values from VASP
&SYSTEM
  ibrav = 0, nat = 12, ntyp = 3
/
ATOMIC_SPECIES
Sm 150.36 Sm.upf
Ho 164.93 Ho.upf
Er 167.26 Er.upf
ATOMIC_POSITIONS crystal
Sm 0.000 0.000 0.000
Sm 0.250 0.750 0.500
Sm 0.750 0.250 0.500
Ho 0.500 0.500 0.000
Er 0.128 0.128 0.748
Er 0.246 0.738 0.000
Er 0.262 0.262 0.509
Er 0.380 0.380 0.252
Er 0.620 0.872 0.000
Er 0.738 0.246 0.000
Er 0.754 0.754 0.491
Er 0.872 0.620 0.000
CELL_PARAMETERS angstrom
-4.344 4.344 5.626
4.344 -4.344 5.626
4.344 4.344 -5.626
! * formation energy from the elements: 0.651 eV/atom
! * DOS at the Fermi energy: 1.46 states/eV/atom
! * magnetic moment: 0.0 μB per formula unit